Record 1
An optimized crystal structure of Zr2SbW, computed with PBE.

Geometry as extended XYZ:
```
4
Lattice="-2.9889 0.0287 -4.7208 -4.3134 -2.4698 -2.5526 -4.0224 2.5005 0.4243" Properties=species:S:1:pos:R:3 pbc="T T T"
Zr -7.2094 -2.3761 -7.1418
Zr -8.4895 0.0830 -5.0901
Sb -5.6871 -0.0823 -3.5687
W -2.9034 0.0235 -1.7465
```

Summary:
The volume is 82.2 Å³/cell. The formation energy from raw total energies is -0.110 eV per atom. The total moment comes out at 0.00 μB/cell.

Record 2
An optimized crystal structure of ZrSb2W, computed with PBE.

Geometry as extended XYZ:
```
4
Lattice="-3.2118 3.1193 -2.0516 -3.0630 -1.5799 -3.5180 -4.8129 -0.4469 0.9439" Properties=species:S:1:pos:R:3 pbc="T T T"
Sb -2.7719 0.2731 -1.1564
Sb 0.0000 0.0000 0.0000
W -5.5439 0.5463 -2.3129
Zr -8.3158 0.8194 -3.4693
```

Summary:
The volume is 84.5 Å³/cell. For the energy relative to the lowest polymorph listed for this composition, the calculation gives 0.388 eV/atom. The formation energy from raw total energies is 0.324 eV per atom. The total moment comes out at 0.00 μB/cell.

Record 3
An optimized crystal structure of ZrSbW2, computed with PBE.

Geometry as extended XYZ:
```
4
Lattice="-2.0174 3.6688 1.5760 -2.4123 -1.6307 0.7083 1.9030 -1.2283 5.2952" Properties=species:S:1:pos:R:3 pbc="T T T"
W -2.0691 -1.4871 0.8133
W -0.9487 1.2996 2.1097
Sb -1.9415 -0.6396 5.3531
Zr -0.2343 -1.4232 3.0133
```

Summary:
The volume is 77.0 Å³/cell. The formation energy from raw total energies is 0.203 eV per atom. The total moment comes out at 0.00 μB/cell.

Record 4
An optimized crystal structure of Zr2SbW, computed with PBE.

Geometry as extended XYZ:
```
4
Lattice="-2.5765 -1.5140 -3.7899 2.2134 -1.0501 -4.1584 0.3313 -4.5863 -1.4663" Properties=species:S:1:pos:R:3 pbc="T T T"
Zr -0.0080 -1.7876 -2.3536
Zr 0.0000 0.0000 0.0000
Sb -0.0159 -3.5752 -4.7073
W -0.0239 -5.3628 -7.0609
```

Summary:
The volume is 79.5 Å³/cell. The formation energy from raw total energies is 0.091 eV per atom. The total moment comes out at 0.00 μB/cell.

Record 5
An optimized crystal structure of ZrSb2W, computed with PBE.

Geometry as extended XYZ:
```
4
Lattice="3.5888 0.0000 0.0000 0.0000 3.5888 0.0000 0.0000 0.0000 6.7177" Properties=species:S:1:pos:R:3 pbc="T T T"
Sb 1.7944 1.7944 2.0087
Sb 0.0000 0.0000 6.4281
W 0.0000 0.0000 3.3404
Zr 1.7944 1.7944 5.0170
```

Summary:
The volume is 86.5 Å³/cell. For the energy relative to the lowest polymorph listed for this composition, the calculation gives 0.000 eV/atom. The formation energy from raw total energies is -0.064 eV per atom. The total moment comes out at 0.00 μB/cell.

Record 6
An optimized crystal structure of ZrSb4W, computed with PBE.

Geometry as extended XYZ:
```
6
Lattice="3.7059 -4.1879 2.0648 -0.8913 -5.7242 -1.4053 3.7383 -2.7714 -3.7255" Properties=species:S:1:pos:R:3 pbc="T T T"
Sb 4.0946 -7.9252 -1.9158
Sb 4.5397 -5.0667 -1.2140
Sb 2.2277 -6.5413 -0.0553
Sb 2.2439 -5.8339 -2.9469
W 1.6382 -3.1709 -0.7665
Zr 0.0000 0.0000 0.0000
```

Summary:
The volume is 149.8 Å³/cell. The formation energy from raw total energies is 1.043 eV per atom. The total moment comes out at 1.21 μB/cell.

Record 7
An optimized crystal structure of ZrSbW2, computed with PBE.

Geometry as extended XYZ:
```
4
Lattice="5.5294 -0.0056 0.0007 2.6067 4.8764 -0.0007 -3.7169 -3.0221 2.7616" Properties=species:S:1:pos:R:3 pbc="T T T"
Sb 1.4790 2.1449 1.3804
Zr 2.9403 -0.2961 1.3812
W 8.0867 4.8412 0.0000
W 4.1175 2.4650 0.0000
```

Summary:
The volume is 74.5 Å³/cell. The formation energy from raw total energies is 0.231 eV per atom. The total moment comes out at 0.00 μB/cell.

Record 8
An optimized crystal structure of ZrSb2W, computed with PBE.

Geometry as extended XYZ:
```
4
Lattice="-4.2585 -1.5336 1.3037 1.2540 -3.3448 0.1614 1.9103 -0.9471 5.1257" Properties=species:S:1:pos:R:3 pbc="T T T"
Sb 2.9445 -4.1627 4.7211
Sb -1.1290 -1.9749 2.4980
Zr 0.0611 -3.3294 4.7922
W 1.7755 -2.7962 2.5101
```

Summary:
The volume is 88.5 Å³/cell. For the energy relative to the lowest polymorph listed for this composition, the calculation gives 0.099 eV/atom. The formation energy from raw total energies is 0.036 eV per atom. The total moment comes out at 0.00 μB/cell.

Record 9
An optimized crystal structure of Zr2SbW, computed with PBE.

Geometry as extended XYZ:
```
4
Lattice="3.6226 0.0000 0.0000 0.0000 3.6226 0.0000 0.0000 0.0000 6.2511" Properties=species:S:1:pos:R:3 pbc="T T T"
Zr 0.0000 0.0000 3.1813
Zr 0.0000 0.0000 6.1954
W 1.8113 1.8113 4.6884
Sb 1.8113 1.8113 1.5628
```

Summary:
The volume is 82.0 Å³/cell. The formation energy from raw total energies is -0.225 eV per atom. The total moment comes out at 0.00 μB/cell.

Record 10
An optimized crystal structure of Zr2SbW, computed with PBE.

Geometry as extended XYZ:
```
4
Lattice="-0.3495 -0.9573 2.9697 1.6372 -2.1606 -1.5840 7.6398 4.1493 2.2365" Properties=species:S:1:pos:R:3 pbc="T T T"
Zr 3.9265 2.1325 1.1495
Zr 7.5332 4.0914 2.2053
Sb 2.5538 -0.5216 1.2520
W 6.3737 1.5530 2.3702
```

Summary:
The volume is 83.7 Å³/cell. The formation energy from raw total energies is -0.084 eV per atom. The total moment comes out at 0.00 μB/cell.

Record 11
An optimized crystal structure of ZrSb2W, computed with PBE.

Geometry as extended XYZ:
```
4
Lattice="-1.5451 -2.7199 -4.3827 1.7278 -2.9871 5.0241 -2.8071 -1.2454 1.0255" Properties=species:S:1:pos:R:3 pbc="T T T"
W 0.0914 -2.8535 0.3207
Sb -0.5397 -2.1163 3.0248
Sb 0.0000 0.0000 0.0000
Zr -2.1761 -1.9826 -1.6786
```

Summary:
The volume is 84.4 Å³/cell. For the energy relative to the lowest polymorph listed for this composition, the calculation gives 0.417 eV/atom. The formation energy from raw total energies is 0.353 eV per atom. The total moment comes out at 0.18 μB/cell.

Record 12
An optimized crystal structure of ZrSb2W, computed with PBE.

Geometry as extended XYZ:
```
4
Lattice="-0.7366 2.2364 -3.9892 0.8835 -0.6560 -4.4997 -5.1556 -2.5628 -1.8406" Properties=species:S:1:pos:R:3 pbc="T T T"
W -3.7565 -0.7367 -7.7472
Sb -5.0115 -2.4803 -1.8505
Sb -2.6484 -0.5736 -5.1548
Zr -1.2522 -0.2456 -2.5824
```

Summary:
The volume is 85.6 Å³/cell. For the energy relative to the lowest polymorph listed for this composition, the calculation gives 0.263 eV/atom. The formation energy from raw total energies is 0.199 eV per atom. The total moment comes out at 0.00 μB/cell.